A plane-wave DFT calculation with GGA-PBE was carried out for an optimized crystal structure of BaW2Se.

```
BaW2Se
1.0
-1.1611 -4.9640 3.9214
4.3679 -3.5813 3.0761
-1.7100 6.0725 -1.2519
Ba Se W
1 1 2
direct
0.2500 0.7500 0.5000
0.7500 0.2500 0.5000
0.5000 0.5000 0.0000
0.0000 0.0000 0.0000
```

- Energy: -0.2417 Ha/atom
- E_form (uncorrected): 1.25 eV per atom
- Size of the total moment: 0.000 μB per formula unit